1.
This record from the Open Quantum Materials Database describes a relaxed structure of PaTcIr. The functional is GGA-PBE.

a b c (Å): 4.4751 4.4751 4.4751
angles (deg): 60.00 60.00 60.00
Atoms (fractional coordinates):
Ir (0.2500, 0.2500, 0.2500)
Pa (0.0000, 0.0000, 0.0000)
Tc (0.7500, 0.7500, 0.7500)

Computed properties:
crystal system = cubic
energy = -28.27 eV for the cell shown
magnetization = 0.000 μB/cell
ΔE to the lowest computed polymorph = 52 meV per atom
calculated volume = 63.4 Å³/f.u.
ρ = 13.66 g/cm3
symmetry = F-43m (216)
ΔE_f = 0.148 eV per atom

=====

2.
This record from the Open Quantum Materials Database describes a relaxed structure of Tb. The functional is GGA-PBE.

a b c (Å): 12.0585 11.8109 3.5146
angles (deg): 85.55 77.56 16.89
Atoms (fractional coordinates):
Tb (0.9377, 0.9377, 0.5623)
Tb (0.3123, 0.3123, 0.6877)
Tb (0.5623, 0.5623, 0.9377)
Tb (0.6877, 0.6877, 0.3123)

Computed properties:
crystal system = orthorhombic
energy = -18.07 eV for the cell shown
magnetization = 0.043 μB/cell
ΔE to the lowest computed polymorph = 112 meV per atom
calculated volume = 31.7 Å³/f.u.
ρ = 8.34 g/cm3
symmetry = Fddd (70)
ΔE_f = 0.112 eV per atom

=====

3.
This record from the Open Quantum Materials Database describes a relaxed structure of ScBeNiPb. The functional is GGA-PBE.

a b c (Å): 4.4994 4.4994 4.4994
angles (deg): 60.00 60.00 60.00
Atoms (fractional coordinates):
Be (0.0000, 0.0000, 0.0000)
Pb (0.2500, 0.2500, 0.2500)
Sc (0.7500, 0.7500, 0.7500)
Ni (0.5000, 0.5000, 0.5000)

Computed properties:
crystal system = cubic
energy = -19.37 eV for the cell shown
magnetization = 0.001 μB/cell
ΔE to the lowest computed polymorph = 0 meV per atom
calculated volume = 64.4 Å³/f.u.
ρ = 8.25 g/cm3
symmetry = F-43m (216)

=====

4.
This record from the Open Quantum Materials Database describes a relaxed structure of AlFeHg2. The functional is GGA-PBE.

a b c (Å): 4.6836 4.6836 4.6836
angles (deg): 60.00 60.00 60.00
Atoms (fractional coordinates):
Fe (0.2500, 0.2500, 0.2500)
Al (0.5000, 0.5000, 0.5000)
Hg (0.7500, 0.7500, 0.7500)
Hg (0.0000, 0.0000, 0.0000)

Computed properties:
crystal system = cubic
energy = -10.80 eV for the cell shown
magnetization = 2.259 μB/cell
calculated volume = 72.6 Å³/f.u.
ρ = 11.06 g/cm3
symmetry = F-43m (216)

=====

ρ of number 1 (PaTcIr)?
13.66 g/cm3

=====

Which value of energy does entry 2 give?
-18.07 eV for the cell shown

=====

Which formula does entry 3 have?
ScBeNiPb